TbGd2Ho | the Alexandria database | PBE | relaxed; distance to the lowest polymorph of the same formula = 77.4 meV/atom; mass density = 8.2 g/cm3; energy relative to the elements = 102 meV per atom; DOS at the Fermi energy = 7.010 states/eV/cell
1.0
-1.480 5.466 0.301
-4.695 1.517 2.795
0.406 2.781 4.926
Gd Tb Ho
2 1 1
Cartesian
-4.327 7.323 6.016
-1.442 2.441 2.005
-2.884 4.882 4.011
0.000 0.000 0.000